# Pr4Er5Tm2

Crystalline Pr4Er5Tm2 at its relaxed geometry (PBE, Alexandria).

## Properties
Energy relative to the elements: 0.11 eV per atom
ρ: 8.0 g cm⁻³
Energy above the most stable polymorph in this dataset: 0 meV per atom

Structure (POSCAR):
```
Pr4Er5Tm2
1.0
5.4765 0.0000 -1.3359
-0.3167 6.5261 -1.2983
-0.5166 1.8249 9.7753
Pr Er Tm
4 5 2
direct
0.3070 0.9282 0.6139
0.9792 0.7118 0.9584
0.6930 0.0718 0.3861
0.0208 0.2882 0.0416
0.7908 0.5975 0.5817
0.2092 0.4025 0.4183
0.8698 0.1151 0.7396
0.5000 0.0000 0.0000
0.1302 0.8849 0.2604
0.4017 0.4432 0.8034
0.5983 0.5568 0.1966
```

=====

# K2RbAsI6

Crystalline K2RbAsI6 at its relaxed geometry (PBE, Alexandria).

## Properties
ρ: 3.4 g cm⁻³
Energy above the most stable polymorph in this dataset: 0 meV per atom
Uncorrected formation energy: -925.5 meV per atom

Structure (POSCAR):
```
K2RbAsI6
1.0
8.6785 0.0001 0.0001
4.3393 7.5157 -0.0003
4.3389 2.5053 7.4529
K Rb As I
2 1 1 6
direct
0.5316 0.5316 0.4052
0.0151 0.0152 0.9546
0.8158 0.8158 0.5526
0.3273 0.3273 0.0182
0.5473 0.2195 0.2412
0.2195 0.9919 0.2412
0.9919 0.5474 0.2412
0.4159 0.6658 0.7870
0.6658 0.1314 0.7870
0.1314 0.4158 0.7870
```